[1]
Computed, not measured: a relaxed structure of Hf2SiAu at the GGA-PBEsol level of DFT.

Energy ... -7.8518 eV per atom
Uncorrected formation energy ... -0.1825 eV/atom
Space-group type ... I-42d, No. 122
Total magnetic moment ... 0.00 μB/atom
Fermi-level density of states ... 0.792 states/eV/atom

Lattice parameters (Å, degrees): 7.3116 7.3116 5.7600 90.00 90.00 90.00
Atoms (fractional coordinates):
Hf 0.2447 0.7500 0.1250
Hf 0.2500 0.2447 0.8750
Hf 0.2500 0.2553 0.3750
Hf 0.2553 0.7500 0.6250
Hf 0.7447 0.2500 0.6250
Hf 0.7500 0.7447 0.3750
Hf 0.7500 0.7553 0.8750
Hf 0.7553 0.2500 0.1250
Si 0.0000 0.0000 0.0000
Si 0.0000 0.5000 0.2500
Si 0.5000 0.0000 0.7500
Si 0.5000 0.5000 0.5000
Au 0.0000 0.0000 0.5000
Au 0.0000 0.5000 0.7500
Au 0.5000 0.0000 0.2500
Au 0.5000 0.5000 0.0000

---

[2]
Computed, not measured: a relaxed structure of HfTa2TeAu at the GGA-PBEsol level of DFT.

Energy ... -7.0779 eV per atom
Uncorrected formation energy ... 1.5331 eV/atom
Space-group type ... P4/mmm, No. 123
Total magnetic moment ... 0.00 μB/atom
Fermi-level density of states ... 1.012 states/eV/atom

Lattice parameters (Å, degrees): 4.8969 4.8969 5.2261 90.00 90.00 90.00
Atoms (fractional coordinates):
Hf 0.0000 0.0000 0.0000
Ta 0.0000 0.5000 0.5000
Ta 0.5000 0.0000 0.5000
Te 0.5000 0.5000 0.0000
Au 0.5000 0.5000 0.5000

---

[3]
Computed, not measured: a relaxed structure of HfTcAu3 at the GGA-PBEsol level of DFT.

Energy ... -5.2032 eV per atom
Space-group type ... Pm-3m, No. 221
Total magnetic moment ... 0.86 μB/atom
Fermi-level density of states ... 0.938 states/eV/atom
Energy relative to the elements ... 1505 meV/atom

Lattice parameters (Å, degrees): 5.0170 5.0170 5.0170 90.00 90.00 90.00
Atoms (fractional coordinates):
Hf 0.0000 0.0000 0.0000
Tc 0.5000 0.5000 0.5000
Au 0.0000 0.0000 0.5000
Au 0.0000 0.5000 0.0000
Au 0.5000 0.0000 0.0000

---

[4]
Computed, not measured: a relaxed structure of YHfTiAu2 at the GGA-PBEsol level of DFT.

Energy ... -6.2869 eV per atom
Space-group type ... P4/mmm, No. 123
Total magnetic moment ... 0.19 μB/atom
Fermi-level density of states ... 0.714 states/eV/atom
Energy relative to the elements ... 412 meV/atom

Lattice parameters (Å, degrees): 5.0891 5.0891 4.6323 90.00 90.00 90.00
Atoms (fractional coordinates):
Y 0.0000 0.0000 0.0000
Hf 0.5000 0.5000 0.5000
Ti 0.5000 0.5000 0.0000
Au 0.0000 0.5000 0.5000
Au 0.5000 0.0000 0.5000

---

[5]
Computed, not measured: a relaxed structure of YHfAu2 at the GGA-PBEsol level of DFT.

Energy ... -6.8873 eV per atom
Space-group type ... Fm-3m, No. 225
Total magnetic moment ... 0.00 μB/atom
Fermi-level density of states ... 0.799 states/eV/atom
Energy relative to the elements ... -594 meV/atom

Lattice parameters (Å, degrees): 6.8872 6.8872 6.8872 90.00 90.00 90.00
Atoms (fractional coordinates):
Y 0.0000 0.0000 0.0000
Y 0.0000 0.5000 0.5000
Y 0.5000 0.0000 0.5000
Y 0.5000 0.5000 0.0000
Hf 0.0000 0.0000 0.5000
Hf 0.0000 0.5000 0.0000
Hf 0.5000 0.0000 0.0000
Hf 0.5000 0.5000 0.5000
Au 0.2500 0.2500 0.2500
Au 0.2500 0.2500 0.7500
Au 0.2500 0.7500 0.2500
Au 0.2500 0.7500 0.7500
Au 0.7500 0.2500 0.2500
Au 0.7500 0.2500 0.7500
Au 0.7500 0.7500 0.2500
Au 0.7500 0.7500 0.7500

---

[6]
Computed, not measured: a relaxed structure of HfZr2Au2 at the GGA-PBEsol level of DFT.

Energy ... -7.2063 eV per atom
Space-group type ... I4/mmm, No. 139
Total magnetic moment ... 0.00 μB/atom
Fermi-level density of states ... 1.672 states/eV/atom
Energy relative to the elements ... 100 meV/atom

Lattice parameters (Å, degrees): 3.7618 3.7618 15.1037 90.00 90.00 90.00
Atoms (fractional coordinates):
Hf 0.0000 0.0000 0.0000
Hf 0.5000 0.5000 0.5000
Zr 0.0000 0.0000 0.3980
Zr 0.0000 0.0000 0.6020
Zr 0.5000 0.5000 0.1020
Zr 0.5000 0.5000 0.8980
Au 0.0000 0.5000 0.2500
Au 0.0000 0.5000 0.7500
Au 0.5000 0.0000 0.2500
Au 0.5000 0.0000 0.7500

---

[7]
Computed, not measured: a relaxed structure of HfZr3Au at the GGA-PBEsol level of DFT.

Energy ... -7.2211 eV per atom
Space-group type ... Pm-3m, No. 221
Total magnetic moment ... 0.00 μB/atom
Fermi-level density of states ... 1.443 states/eV/atom
Energy relative to the elements ... 1118 meV/atom

Lattice parameters (Å, degrees): 5.0105 5.0105 5.0105 90.00 90.00 90.00
Atoms (fractional coordinates):
Hf 0.0000 0.0000 0.0000
Zr 0.0000 0.0000 0.5000
Zr 0.0000 0.5000 0.0000
Zr 0.5000 0.0000 0.0000
Au 0.5000 0.5000 0.5000

---

[8]
Computed, not measured: a relaxed structure of Hg2Au at the GGA-PBEsol level of DFT.

Energy ... -1.6294 eV per atom
Space-group type ... C2/m, No. 12
Total magnetic moment ... 0.00 μB/atom
Fermi-level density of states ... 0.293 states/eV/atom
Energy relative to the elements ... 57 meV/atom

Lattice parameters (Å, degrees): 10.4241 3.2552 7.4960 90.00 92.15 90.00
Atoms (fractional coordinates):
Hg 0.1347 0.0000 0.0690
Hg 0.1406 0.0000 0.6853
Hg 0.3594 0.5000 0.3147
Hg 0.3653 0.5000 0.9310
Hg 0.6347 0.5000 0.0690
Hg 0.6406 0.5000 0.6853
Hg 0.8594 0.0000 0.3147
Hg 0.8653 0.0000 0.9310
Au 0.0948 0.5000 0.3719
Au 0.4052 0.0000 0.6281
Au 0.5948 0.0000 0.3719
Au 0.9052 0.5000 0.6281

---

[9]
Computed, not measured: a relaxed structure of HgAu3 at the GGA-PBEsol level of DFT.

Energy ... -3.0520 eV per atom
Space-group type ... Pnma, No. 62
Total magnetic moment ... 0.00 μB/atom
Fermi-level density of states ... 0.329 states/eV/atom
Energy relative to the elements ... 33 meV/atom

Lattice parameters (Å, degrees): 5.0880 9.6415 5.8035 90.00 90.00 90.00
Atoms (fractional coordinates):
Hg 0.0751 0.2500 0.1181
Hg 0.4249 0.7500 0.6181
Hg 0.5751 0.2500 0.3819
Hg 0.9249 0.7500 0.8819
Au 0.0837 0.2500 0.6234
Au 0.2426 0.5026 0.3722
Au 0.2426 0.9974 0.3722
Au 0.2574 0.0026 0.8722
Au 0.2574 0.4974 0.8722
Au 0.4163 0.7500 0.1234
Au 0.5837 0.2500 0.8766
Au 0.7426 0.5026 0.1278
Au 0.7426 0.9974 0.1278
Au 0.7574 0.0026 0.6278
Au 0.7574 0.4974 0.6278
Au 0.9163 0.7500 0.3766

---

[10]
Computed, not measured: a relaxed structure of Hg2Au at the GGA-PBEsol level of DFT.

Energy ... -1.6320 eV per atom
Space-group type ... I4_1/amd, No. 141
Total magnetic moment ... 0.00 μB/atom
Fermi-level density of states ... 0.315 states/eV/atom
Energy relative to the elements ... 54 meV/atom

Lattice parameters (Å, degrees): 3.0938 3.0938 25.7578 90.00 90.00 90.00
Atoms (fractional coordinates):
Hg 0.0000 0.2500 0.2982
Hg 0.0000 0.2500 0.4518
Hg 0.0000 0.7500 0.5482
Hg 0.0000 0.7500 0.7018
Hg 0.5000 0.2500 0.0482
Hg 0.5000 0.2500 0.2018
Hg 0.5000 0.7500 0.7982
Hg 0.5000 0.7500 0.9518
Au 0.0000 0.2500 0.8750
Au 0.0000 0.7500 0.1250
Au 0.5000 0.2500 0.6250
Au 0.5000 0.7500 0.3750

---

[11]
Computed, not measured: a relaxed structure of Hg2Au at the GGA-PBEsol level of DFT.

Energy ... -1.5682 eV per atom
Space-group type ... P-3m1, No. 164
Total magnetic moment ... 0.00 μB/atom
Fermi-level density of states ... 0.409 states/eV/atom
Energy relative to the elements ... 118 meV/atom

Lattice parameters (Å, degrees): 4.6831 4.6831 3.2162 90.00 90.00 120.00
Atoms (fractional coordinates):
Hg 0.3333 0.6667 0.2912
Hg 0.6667 0.3333 0.7088
Au 0.0000 0.0000 0.0000

---

[12]
Computed, not measured: a relaxed structure of HgAu3 at the GGA-PBEsol level of DFT.

Energy ... -3.0549 eV per atom
Space-group type ... Immm, No. 71
Total magnetic moment ... 0.00 μB/atom
Fermi-level density of states ... 0.280 states/eV/atom
Energy relative to the elements ... 30 meV/atom

Lattice parameters (Å, degrees): 4.0698 4.1936 8.3340 90.00 90.00 90.00
Atoms (fractional coordinates):
Hg 0.0000 0.0000 0.0000
Hg 0.5000 0.5000 0.5000
Au 0.0000 0.0000 0.5000
Au 0.0000 0.5000 0.2498
Au 0.0000 0.5000 0.7502
Au 0.5000 0.0000 0.2502
Au 0.5000 0.0000 0.7498
Au 0.5000 0.5000 0.0000

---

[13]
Computed, not measured: a relaxed structure of HgAu2 at the GGA-PBEsol level of DFT.

Energy ... -2.7578 eV per atom
Space-group type ... I4/mcm, No. 140
Total magnetic moment ... 0.00 μB/atom
Fermi-level density of states ... 0.286 states/eV/atom
Energy relative to the elements ... 47 meV/atom

Lattice parameters (Å, degrees): 5.3716 5.3716 8.5187 90.00 90.00 90.00
Atoms (fractional coordinates):
Hg 0.0000 0.0000 0.2500
Hg 0.0000 0.0000 0.7500
Hg 0.5000 0.5000 0.2500
Hg 0.5000 0.5000 0.7500
Au 0.1836 0.3164 0.0000
Au 0.1836 0.6836 0.5000
Au 0.3164 0.1836 0.5000
Au 0.3164 0.8164 0.0000
Au 0.6836 0.1836 0.0000
Au 0.6836 0.8164 0.5000
Au 0.8164 0.3164 0.5000
Au 0.8164 0.6836 0.0000

---

[14]
Computed, not measured: a relaxed structure of HgAu4 at the GGA-PBEsol level of DFT.

Energy ... -3.2065 eV per atom
E above lowest polymorph ... 20.7 meV per atom
Space-group type ... R-3m, No. 166
Total magnetic moment ... 0.00 μB/atom
Fermi-level density of states ... 0.318 states/eV/atom
Energy relative to the elements ... 46 meV/atom

Lattice parameters (Å, degrees): 2.9679 2.9679 34.8810 90.00 90.00 120.00
Atoms (fractional coordinates):
Hg 0.0000 0.0000 0.0000
Hg 0.3333 0.6667 0.6667
Hg 0.6667 0.3333 0.3333
Au 0.0000 0.0000 0.1990
Au 0.0000 0.0000 0.4026
Au 0.0000 0.0000 0.5974
Au 0.0000 0.0000 0.8010
Au 0.3333 0.6667 0.0692
Au 0.3333 0.6667 0.2641
Au 0.3333 0.6667 0.4677
Au 0.3333 0.6667 0.8656
Au 0.6667 0.3333 0.1344
Au 0.6667 0.3333 0.5323
Au 0.6667 0.3333 0.7359
Au 0.6667 0.3333 0.9308

---

[15]
Computed, not measured: a relaxed structure of Hg2Au at the GGA-PBEsol level of DFT.

Energy ... -1.6462 eV per atom
Space-group type ... C2/m, No. 12
Total magnetic moment ... 0.00 μB/atom
Fermi-level density of states ... 0.320 states/eV/atom
Energy relative to the elements ... 40 meV/atom

Lattice parameters (Å, degrees): 13.2811 2.9784 7.2734 90.00 118.58 90.00
Atoms (fractional coordinates):
Hg 0.0000 0.0000 0.0000
Hg 0.0000 0.0000 0.5000
Hg 0.2300 0.5000 0.3143
Hg 0.2700 0.0000 0.6857
Hg 0.5000 0.5000 0.0000
Hg 0.5000 0.5000 0.5000
Hg 0.7300 0.0000 0.3143
Hg 0.7700 0.5000 0.6857
Au 0.1434 0.5000 0.8701
Au 0.3566 0.0000 0.1299
Au 0.6434 0.0000 0.8701
Au 0.8566 0.5000 0.1299

---

[16]
Computed, not measured: a relaxed structure of Hg2Au at the GGA-PBEsol level of DFT.

Energy ... -1.6162 eV per atom
Space-group type ... I4/mmm, No. 139
Total magnetic moment ... 0.00 μB/atom
Fermi-level density of states ... 0.299 states/eV/atom
Energy relative to the elements ... 70 meV/atom

Lattice parameters (Å, degrees): 3.8143 3.8143 8.4579 90.00 90.00 90.00
Atoms (fractional coordinates):
Hg 0.0000 0.0000 0.1663
Hg 0.0000 0.0000 0.8337
Hg 0.5000 0.5000 0.3337
Hg 0.5000 0.5000 0.6663
Au 0.0000 0.0000 0.5000
Au 0.5000 0.5000 0.0000

---

[17]
Computed, not measured: a relaxed structure of HgAu4 at the GGA-PBEsol level of DFT.

Energy ... -3.2272 eV per atom
E above lowest polymorph ... 0.0 meV per atom
Space-group type ... I4/m, No. 87
Total magnetic moment ... 0.00 μB/atom
Fermi-level density of states ... 0.282 states/eV/atom
Energy relative to the elements ... 25 meV/atom

Lattice parameters (Å, degrees): 6.4743 6.4743 4.2020 90.00 90.00 90.00
Atoms (fractional coordinates):
Hg 0.0000 0.0000 0.0000
Hg 0.5000 0.5000 0.5000
Au 0.0981 0.3021 0.5000
Au 0.1979 0.5981 0.0000
Au 0.3021 0.9019 0.5000
Au 0.4019 0.1979 0.0000
Au 0.5981 0.8021 0.0000
Au 0.6979 0.0981 0.5000
Au 0.8021 0.4019 0.0000
Au 0.9019 0.6979 0.5000

---

[18]
Computed, not measured: a relaxed structure of HgAu3 at the GGA-PBEsol level of DFT.

Energy ... -3.0282 eV per atom
Space-group type ... P-6m2, No. 187
Total magnetic moment ... 0.00 μB/atom
Fermi-level density of states ... 0.383 states/eV/atom
Energy relative to the elements ... 56 meV/atom

Lattice parameters (Å, degrees): 2.9813 2.9813 9.3077 90.00 90.00 120.00
Atoms (fractional coordinates):
Hg 0.0000 0.0000 0.0000
Au 0.0000 0.0000 0.5000
Au 0.3333 0.6667 0.2565
Au 0.3333 0.6667 0.7435

---

[19]
Computed, not measured: a relaxed structure of Hg2Au at the GGA-PBEsol level of DFT.

Energy ... -1.6453 eV per atom
Space-group type ... Pnma, No. 62
Total magnetic moment ... 0.00 μB/atom
Fermi-level density of states ... 0.336 states/eV/atom
Energy relative to the elements ... 41 meV/atom

Lattice parameters (Å, degrees): 7.2281 3.7699 9.2029 90.00 90.00 90.00
Atoms (fractional coordinates):
Hg 0.0571 0.2500 0.1658
Hg 0.1311 0.2500 0.5782
Hg 0.3689 0.7500 0.0782
Hg 0.4429 0.7500 0.6658
Hg 0.5571 0.2500 0.3342
Hg 0.6311 0.2500 0.9218
Hg 0.8689 0.7500 0.4218
Hg 0.9429 0.7500 0.8342
Au 0.2346 0.2500 0.8704
Au 0.2654 0.7500 0.3704
Au 0.7346 0.2500 0.6296
Au 0.7654 0.7500 0.1296

---

[20]
Computed, not measured: a relaxed structure of HgAu3 at the GGA-PBEsol level of DFT.

Energy ... -3.0498 eV per atom
Space-group type ... C2/m, No. 12
Total magnetic moment ... 0.00 μB/atom
Fermi-level density of states ... 0.242 states/eV/atom
Energy relative to the elements ... 35 meV/atom

Lattice parameters (Å, degrees): 9.5659 2.9977 5.0496 90.00 100.20 90.00
Atoms (fractional coordinates):
Hg 0.0000 0.0000 0.0000
Hg 0.5000 0.5000 0.0000
Au 0.0000 0.5000 0.5000
Au 0.2470 0.0000 0.7452
Au 0.2530 0.5000 0.2548
Au 0.5000 0.0000 0.5000
Au 0.7470 0.5000 0.7452
Au 0.7530 0.0000 0.2548